Here is a relaxed structure of TmInPt2 from the Alexandria database. Energies are from PBE.

Its formation energy is -0.89 eV/atom. For the total energy, the calculation gives -5.7124 eV per atom. For the calculated volume, the calculation gives 77.1 Å³ per cell. The space group is P4/mmm (123).

Cell lengths 3.5249, 4.6757, 4.6757 Å; angles 90.00, 90.00, 90.00 degrees
Closest atoms and distances in Å follow each position.
Sites, in units of the cell vectors:
1 In 0.5000 0.0000 0.0000  8 Pt 2.93
2 Tm 0.5000 0.5000 0.5000  8 Pt 2.93
3 Pt 0.0000 0.5000 0.0000  4 Tm 2.93, 4 In 2.93
4 Pt 0.0000 0.0000 0.5000  4 Tm 2.93, 4 In 2.93

***

Here is a relaxed structure of TmInPt4 from the Alexandria database. Energies are from PBE.

Its formation energy is -0.80 eV/atom. For the total energy, the calculation gives -6.0316 eV per atom. For the calculated volume, the calculation gives 110.5 Å³ per cell. The space group is F-43m (216).

Cell lengths 5.3871, 5.3871, 5.3871 Å; angles 60.00, 60.00, 60.00 degrees
Closest atoms and distances in Å follow each position.
Sites, in units of the cell vectors:
1 In 0.2500 0.2500 0.2500  12 Pt 3.16, 4 Tm 3.30
2 Tm 0.0000 0.0000 0.0000  12 Pt 3.16, 4 In 3.30
3 Pt 0.6247 0.1260 0.6247  6 Pt 2.69-2.70
4 Pt 0.6247 0.6247 0.6247  6 Pt 2.69-2.70
5 Pt 0.1260 0.6247 0.6247  6 Pt 2.69-2.70
6 Pt 0.6247 0.6247 0.1260  6 Pt 2.69-2.70

***

Here is a relaxed structure of Tm5In2Pt from the Alexandria database. Energies are from PBE.

Its formation energy is -0.59 eV/atom. For the total energy, the calculation gives -4.8262 eV per atom. For the calculated volume, the calculation gives 418.3 Å³ per cell. The space group is Pbam (55).

Cell lengths 4.7957, 7.0105, 12.4412 Å; angles 90.00, 90.00, 90.00 degrees
Closest atoms and distances in Å follow each position.
Sites, in units of the cell vectors:
1 In 0.5000 0.1011 0.3395  9 Tm 3.13-3.43
2 Tm 0.0000 0.6273 0.7144  1 Pt 2.81, 2 In 3.13
3 Tm 0.0000 0.1273 0.7856  1 Pt 2.81, 2 In 3.13
4 Pt 0.0000 0.0000 0.0000  6 Tm 2.81-2.89
5 Tm 0.0000 0.8727 0.2144  1 Pt 2.81, 2 In 3.13
6 In 0.5000 0.8989 0.6605  9 Tm 3.13-3.43
7 Tm 0.0000 0.0000 0.5000  4 In 3.20, 4 Tm 3.47, 2 Pt 3.51
8 Pt 0.0000 0.5000 0.5000  6 Tm 2.81-2.89
9 Tm 0.0000 0.5000 0.0000  4 In 3.20, 4 Tm 3.47, 2 Pt 3.51
10 In 0.5000 0.3989 0.8395  9 Tm 3.13-3.43
11 In 0.5000 0.6011 0.1605  9 Tm 3.13-3.43
12 Tm 0.5000 0.6761 0.4155  2 Pt 2.89, 2 In 3.13-3.22
13 Tm 0.5000 0.3239 0.5845  2 Pt 2.89, 2 In 3.13-3.22
14 Tm 0.5000 0.8239 0.9155  2 Pt 2.89, 2 In 3.13-3.22
15 Tm 0.5000 0.1761 0.0845  2 Pt 2.89, 2 In 3.13-3.22
16 Tm 0.0000 0.3727 0.2856  1 Pt 2.81, 2 In 3.13

***

The lowest total energy belongs to which entry? TmInPt4